{"formula": "EuLu3Co", "functional": "GGA-PBE", "state": "relaxed", "lattice_angstrom": [[5.2215, 0.0000, 0.0000], [0.0000, 5.2215, 0.0000], [0.0000, 0.0000, 5.2215]], "species": ["Eu", "Lu", "Lu", "Lu", "Co"], "frac_coords": [[0.0000, 0.0000, 0.0000], [0.0000, 0.5000, 0.5000], [0.5000, 0.0000, 0.5000], [0.5000, 0.5000, 0.0000], [0.5000, 0.5000, 0.5000]]}


{"formula": "EuLuZnCo", "functional": "GGA-PBE", "state": "relaxed", "lattice_angstrom": [[0.0000, 3.4743, 3.4743], [3.4743, 0.0000, 3.4743], [3.4743, 3.4743, 0.0000]], "species": ["Eu", "Lu", "Zn", "Co"], "frac_coords": [[0.0000, 0.0000, 0.0000], [0.5000, 0.5000, 0.5000], [0.7500, 0.7500, 0.7500], [0.2500, 0.2500, 0.2500]]}


no.,formation energy from the elements (eV/atom),magnetization (μB/f.u.)
1,-0.102,7.45
2,-0.057,6.25